Entry 1:
Compound: Rb2MoS4
Source: Alexandria via LeMat-Bulk
Functional: SCAN
Structure: single point on PBEsol structure

Summary:
As for the symmetry: No. 62. Its energy relative to the elements, uncorrected is -7.85 eV/f.u. For the uncorrected energy, the calculation gives -17.53 eV/atom.

a b c (Å): 6.896 9.660 12.244
angles (deg): 90.00 90.00 90.00
Fractional positions:
Rb1 0.250 0.040 0.165
Rb2 0.750 0.156 0.394
Rb3 0.250 0.844 0.606
Rb4 0.750 0.656 0.106
Rb5 0.750 0.460 0.665
Rb6 0.250 0.540 0.335
Rb7 0.250 0.344 0.894
Rb8 0.750 0.960 0.835
Mo1 0.250 0.753 0.925
Mo2 0.750 0.247 0.075
Mo3 0.250 0.253 0.575
Mo4 0.750 0.747 0.425
S1 0.005 0.343 0.148
S2 0.495 0.343 0.148
S3 0.995 0.657 0.852
S4 0.005 0.843 0.352
S5 0.750 0.525 0.390
S6 0.250 0.475 0.610
S7 0.750 0.025 0.110
S8 0.250 0.975 0.890
S9 0.750 0.787 0.600
S10 0.250 0.213 0.400
S11 0.750 0.287 0.900
S12 0.505 0.657 0.852
S13 0.495 0.843 0.352
S14 0.995 0.157 0.648
S15 0.250 0.713 0.100
S16 0.505 0.157 0.648

---

Entry 2:
Compound: Sb2P3O12
Source: Alexandria via LeMat-Bulk
Functional: SCAN
Structure: single point on PBEsol structure

Summary:
As for the symmetry: No. 14. Its energy relative to the elements, uncorrected is -34.25 eV/f.u. For the uncorrected energy, the calculation gives -12.63 eV/atom.

a b c (Å): 8.484 8.784 11.914
angles (deg): 90.00 91.62 90.00
Each line ends with the local moment (μB).
Fractional positions:
Sb1 0.748 0.969 0.385  0.00
Sb2 0.251 0.968 0.117  0.33
Sb3 0.248 0.531 0.885  0.00
Sb4 0.749 0.032 0.883  0.33
Sb5 0.249 0.468 0.383  0.33
Sb6 0.252 0.031 0.615  0.00
Sb7 0.752 0.469 0.115  0.00
Sb8 0.751 0.532 0.617  0.33
P1 0.898 0.883 0.649  0.01
P2 0.118 0.377 0.646  0.01
P3 0.882 0.623 0.354  0.01
P4 0.964 0.744 0.005  0.01
P5 0.102 0.117 0.351  0.01
P6 0.536 0.244 0.495  0.01
P7 0.618 0.123 0.146  0.01
P8 0.036 0.256 0.995  0.01
P9 0.464 0.756 0.505  0.01
P10 0.602 0.383 0.851  0.01
P11 0.382 0.877 0.854  0.01
P12 0.398 0.617 0.149  0.01
O1 0.825 0.782 0.311  0.01
O2 0.129 0.098 0.480  0.01
O3 0.072 0.926 0.678  0.01
O4 0.188 0.334 0.953  0.01
O5 0.936 0.195 0.895  0.06
O6 0.084 0.133 0.080  0.07
O7 0.285 0.512 0.211  0.09
O8 0.928 0.074 0.322  0.01
O9 0.377 0.986 0.751  0.01
O10 0.054 0.627 0.397  0.09
O11 0.386 0.785 0.180  0.09
O12 0.233 0.433 0.558  0.07
O13 0.371 0.598 0.020  0.01
O14 0.064 0.805 0.105  0.06
O15 0.715 0.488 0.789  0.09
O16 0.688 0.166 0.453  0.01
O17 0.877 0.514 0.251  0.01
O18 0.564 0.695 0.605  0.06
O19 0.312 0.834 0.547  0.01
O20 0.428 0.426 0.822  0.01
O21 0.812 0.666 0.047  0.01
O22 0.614 0.215 0.820  0.09
O23 0.114 0.285 0.320  0.09
O24 0.416 0.633 0.420  0.07
O25 0.325 0.718 0.811  0.01
O26 0.123 0.486 0.749  0.01
O27 0.215 0.012 0.289  0.09
O28 0.916 0.867 0.920  0.07
O29 0.175 0.218 0.689  0.01
O30 0.767 0.567 0.442  0.07
O31 0.886 0.715 0.680  0.09
O32 0.946 0.373 0.603  0.09
O33 0.584 0.367 0.580  0.07
O34 0.623 0.014 0.249  0.01
O35 0.785 0.988 0.711  0.09
O36 0.733 0.067 0.058  0.07
O37 0.675 0.282 0.189  0.01
O38 0.871 0.902 0.520  0.01
O39 0.053 0.621 0.937  0.01
O40 0.436 0.305 0.395  0.06
O41 0.572 0.574 0.178  0.01
O42 0.629 0.402 0.980  0.01
O43 0.446 0.127 0.103  0.09
O44 0.947 0.379 0.063  0.01
O45 0.554 0.873 0.897  0.09
O46 0.267 0.933 0.942  0.07
O47 0.553 0.879 0.437  0.01
O48 0.447 0.121 0.563  0.01

---

Entry 3:
Compound: LaSc3S
Source: Alexandria via LeMat-Bulk
Functional: SCAN
Structure: single point on PBEsol structure

Summary:
As for the symmetry: No. 221. Its energy relative to the elements, uncorrected is -3.26 eV/f.u. For the uncorrected energy, the calculation gives -19.74 eV/atom.

a b c (Å): 4.936 4.936 4.936
angles (deg): 90.00 90.00 90.00
Fractional positions:
Sc1 0.000 0.500 0.000
Sc2 0.000 0.000 0.500
Sc3 0.500 0.000 0.000
S1 0.000 0.000 0.000
La1 0.500 0.500 0.500

---

Entry 4:
Compound: LaNiBr2
Source: Alexandria via LeMat-Bulk
Functional: SCAN
Structure: single point on PBEsol structure

Summary:
As for the symmetry: No. 166. Its energy relative to the elements, uncorrected is -2.22 eV/f.u. For the uncorrected energy, the calculation gives -25.10 eV/atom.

a b c (Å): 4.024 4.024 6.696
angles (deg): 72.51 72.51 60.00
Each line ends with the local moment (μB).
Fractional positions:
Br1 0.271 0.271 0.188  -0.02
Br2 0.729 0.729 0.812  -0.02
La1 0.500 0.500 0.500  -0.22
Ni1 0.000 0.000 0.000  -0.17

---

Entry 5:
Compound: SrHfSbI2
Source: Alexandria via LeMat-Bulk
Functional: SCAN
Structure: single point on PBEsol structure

Summary:
As for the symmetry: No. 123. Its energy relative to the elements, uncorrected is -2.68 eV/f.u. For the uncorrected energy, the calculation gives -39.67 eV/atom.

a b c (Å): 5.563 5.563 5.631
angles (deg): 90.00 90.00 90.00
Fractional positions:
I1 0.000 0.500 0.000
I2 0.500 0.000 0.000
Sb1 0.000 0.000 0.500
Hf1 0.000 0.000 0.000
Sr1 0.500 0.500 0.500

---

Entry 6:
Compound: BaHBr
Source: Alexandria via LeMat-Bulk
Functional: SCAN
Structure: single point on PBEsol structure

Summary:
As for the symmetry: No. 129. For the uncorrected energy, the calculation gives -22.44 eV/atom.

a b c (Å): 4.492 4.492 7.252
angles (deg): 90.00 90.00 90.00
Fractional positions:
H1 0.500 0.500 0.000
H2 0.000 0.000 0.000
Ba1 0.500 0.000 0.805
Ba2 0.000 0.500 0.195
Br1 0.000 0.500 0.658
Br2 0.500 0.000 0.342

---

Entry 7:
Compound: CrAgBiIr2
Source: Alexandria via LeMat-Bulk
Functional: SCAN
Structure: single point on PBEsol structure

Summary:
As for the symmetry: No. 123. The calculation puts the energy of formation at 1.67 eV/atom. For the uncorrected energy, the calculation gives -52.44 eV/atom.

a b c (Å): 4.601 4.823 4.823
angles (deg): 90.00 90.00 90.00
Each line ends with the local moment (μB).
Fractional positions:
Cr1 0.500 0.000 0.000  3.89
Ir1 0.000 0.000 0.500  0.23
Ir2 0.000 0.500 0.000  0.23
Bi1 0.500 0.500 0.500  -0.06
Ag1 0.000 0.000 0.000  0.05

---

Entry 8:
Compound: SrSi3Te
Source: Alexandria via LeMat-Bulk
Functional: SCAN
Structure: single point on PBEsol structure

Summary:
As for the symmetry: No. 221. Its energy relative to the elements, uncorrected is 4.24 eV/f.u. For the uncorrected energy, the calculation gives -17.07 eV/atom.

a b c (Å): 5.260 5.260 5.260
angles (deg): 90.00 90.00 90.00
Fractional positions:
Sr1 0.500 0.500 0.500
Si1 0.000 0.500 0.000
Si2 0.000 0.000 0.500
Si3 0.500 0.000 0.000
Te1 0.000 0.000 0.000

---

Entry 9:
Compound: SbTe2Pb
Source: Alexandria via LeMat-Bulk
Functional: SCAN
Structure: single point on PBEsol structure

Summary:
As for the symmetry: No. 99. Its energy relative to the elements, uncorrected is 0.25 eV/f.u. For the uncorrected energy, the calculation gives -46.82 eV/atom.

a b c (Å): 3.813 3.813 8.319
angles (deg): 90.00 90.00 90.00
Fractional positions:
Pb1 0.000 0.000 0.478
Sb1 0.500 0.500 0.786
Te1 0.000 0.000 0.954
Te2 0.500 0.500 0.282

---

Entry 10:
Compound: CaHg2Au2
Source: Alexandria via LeMat-Bulk
Functional: SCAN
Structure: single point on PBEsol structure

Summary:
As for the symmetry: No. 139. The calculation puts the energy of formation at -0.46 eV/atom. For the uncorrected energy, the calculation gives -57.32 eV/atom.

a b c (Å): 4.144 4.144 7.221
angles (deg): 106.68 106.68 90.00
Fractional positions:
Ca1 0.000 0.000 0.000
Au1 0.401 0.401 0.801
Au2 0.599 0.599 0.199
Hg1 0.250 0.750 0.500
Hg2 0.750 0.250 0.500

---

Entry 11:
Compound: Ag8GeS6
Source: Alexandria via LeMat-Bulk
Functional: SCAN
Structure: single point on PBEsol structure

Summary:
As for the symmetry: No. 33. Its energy relative to the elements, uncorrected is -2.86 eV/f.u. For the uncorrected energy, the calculation gives -22.04 eV/atom.

a b c (Å): 7.329 10.453 14.897
angles (deg): 90.00 90.00 90.00
Fractional positions:
Ag1 0.990 0.084 0.779
Ag2 0.855 0.404 0.741
Ag3 0.145 0.904 0.259
Ag4 0.645 0.404 0.241
Ag5 0.521 0.116 0.487
Ag6 0.479 0.616 0.513
Ag7 0.979 0.116 0.987
Ag8 0.021 0.616 0.013
Ag9 0.881 0.184 0.230
Ag10 0.119 0.684 0.770
Ag11 0.619 0.184 0.730
Ag12 0.381 0.684 0.270
Ag13 0.607 0.202 0.092
Ag14 0.393 0.702 0.908
Ag15 0.893 0.202 0.592
Ag16 0.107 0.702 0.408
Ag17 0.010 0.584 0.221
Ag18 0.355 0.904 0.759
Ag19 0.490 0.584 0.721
Ag20 0.510 0.084 0.279
Ag21 0.584 0.514 0.067
Ag22 0.416 0.014 0.933
Ag23 0.916 0.514 0.567
Ag24 0.084 0.014 0.433
Ag25 0.736 0.338 0.440
Ag26 0.264 0.838 0.560
Ag27 0.764 0.338 0.940
Ag28 0.236 0.838 0.060
Ag29 0.779 0.872 0.366
Ag30 0.221 0.372 0.634
Ag31 0.721 0.872 0.866
Ag32 0.279 0.372 0.134
Ge1 0.732 0.851 0.123
Ge2 0.268 0.351 0.877
Ge3 0.768 0.851 0.623
Ge4 0.232 0.351 0.377
S1 0.780 0.108 0.382
S2 0.220 0.608 0.618
S3 0.720 0.108 0.882
S4 0.280 0.608 0.118
S5 0.843 0.368 0.114
S6 0.157 0.868 0.886
S7 0.657 0.368 0.614
S8 0.343 0.868 0.386
S9 0.731 0.723 0.242
S10 0.269 0.223 0.758
S11 0.769 0.723 0.742
S12 0.231 0.223 0.258
S13 0.978 0.977 0.128
S14 0.022 0.477 0.872
S15 0.522 0.977 0.628
S16 0.478 0.477 0.372
S17 0.774 0.727 0.502
S18 0.226 0.227 0.498
S19 0.726 0.727 0.002
S20 0.274 0.227 0.998
S21 0.992 0.481 0.378
S22 0.008 0.981 0.622
S23 0.508 0.481 0.878
S24 0.492 0.981 0.122

---

Entry 12:
Compound: LiY2Sc
Source: Alexandria via LeMat-Bulk
Functional: SCAN
Structure: single point on PBEsol structure

Summary:
As for the symmetry: No. 160. The calculation puts the energy of formation at 0.13 eV/atom. The calculation puts the relative energy among the computed polymorphs at 48 meV per atom. For the uncorrected energy, the calculation gives -17.95 eV/atom.

a b c (Å): 3.380 3.380 11.001
angles (deg): 81.16 81.16 60.00
Each line ends with the local moment (μB).
Fractional positions:
Li1 0.503 0.503 0.492  0.02
Sc1 0.248 0.248 0.257  0.60
Y1 0.997 0.997 0.008  0.03
Y2 0.752 0.752 0.743  -0.16

---

Q: Which of these has the highest uncorrected energy?
A: Sb2P3O12